# CaTmAs2Rh5

An optimized crystal structure of CaTmAs2Rh5 (PBE, Alexandria via LeMat-Bulk).

Geometry as POSCAR:
```
CaTmAs2Rh5
1.0
4.267 0.000 0.000
0.000 4.267 0.000
0.000 0.000 8.596
Ca Tm As Rh
1 1 2 5
direct
0.000 0.000 0.000
0.000 0.000 0.500
0.500 0.500 0.353
0.500 0.500 0.647
0.000 0.500 0.233
0.000 0.500 0.767
0.500 0.000 0.233
0.500 0.000 0.767
0.500 0.500 0.000
```

Its space group is P4/mmm. As for the energy of formation: -593.0 meV/atom.